6
Lattice="-2.274 0.504 2.179 2.596 -0.853 2.907 2.281 12.431 -1.182" Properties=species:S:1:pos:R:3 comment="RbMnPd, optimized geometry, DFT PBE-GGA" total_energy_ev_per_atom=-4.732 e_form_ev_per_atom=0.378 relative_energy_ev_per_fu=0.66 magnetic_moment_mub_per_cell=0.00 pbc="T T T"
Rb 0.662 2.982 0.584
Rb 1.849 10.744 1.799
Pd 1.666 5.272 3.096
Pd 3.512 7.587 2.126
Mn 0.891 7.601 1.733
Mn 1.698 6.106 0.574

***

6
Lattice="-3.321 2.178 1.875 -0.595 -4.113 -1.421 3.109 -3.926 10.067" Properties=species:S:1:pos:R:3 comment="RbMnPd, optimized geometry, DFT PBE-GGA" total_energy_ev_per_atom=-4.687 e_form_ev_per_atom=0.423 relative_energy_ev_per_fu=0.79 magnetic_moment_mub_per_cell=9.08 pbc="T T T"
Pd 0.828 -4.961 7.228
Pd -1.635 -0.901 3.293
Rb 1.554 -1.963 5.033
Rb 0.000 0.000 0.000
Mn -0.081 -2.864 8.327
Mn -0.727 -2.998 2.195

***

6
Lattice="-5.468 0.846 -3.800 -0.558 -2.729 1.468 -1.387 3.984 6.882" Properties=species:S:1:pos:R:3 comment="RbMnPd, optimized geometry, DFT PBE-GGA" total_energy_ev_per_atom=-4.720 e_form_ev_per_atom=0.390 relative_energy_ev_per_fu=0.69 magnetic_moment_mub_per_cell=0.00 pbc="T T T"
Mn -6.040 0.873 0.165
Mn -6.451 3.268 1.089
Pd -0.511 0.481 1.459
Pd -6.523 2.815 3.595
Rb -3.792 0.283 3.262
Rb -3.100 -1.707 -0.182

***

6
Lattice="5.301 -3.060 0.000 0.000 6.121 0.000 0.000 0.000 9.694" Properties=species:S:1:pos:R:3 comment="RbMnPd, optimized geometry, DFT PBE-GGA" total_energy_ev_per_atom=-4.184 e_form_ev_per_atom=0.926 relative_energy_ev_per_fu=2.30 magnetic_moment_mub_per_cell=10.09 pbc="T T T"
Rb 1.767 3.060 2.423
Rb 3.534 0.000 7.270
Mn 0.000 0.000 7.270
Mn 0.000 0.000 2.423
Pd 0.000 0.000 4.847
Pd 0.000 0.000 0.000

***

6
Lattice="3.933 0.000 0.000 0.134 12.434 0.001 -1.966 -0.520 3.367" Properties=species:S:1:pos:R:3 comment="RbMnPd, optimized geometry, DFT PBE-GGA" total_energy_ev_per_atom=-4.791 e_form_ev_per_atom=0.319 relative_energy_ev_per_fu=0.48 magnetic_moment_mub_per_cell=0.00 pbc="T T T"
Mn 2.424 3.373 2.273
Mn 0.457 3.547 1.151
Pd 0.458 1.845 3.187
Pd 2.423 5.075 0.237
Rb 2.555 12.069 1.695
Rb -1.511 7.112 2.849

***

6
Lattice="6.742 0.038 -0.258 -0.699 3.068 0.087 -2.172 -0.723 7.803" Properties=species:S:1:pos:R:3 comment="RbMnPd, optimized geometry, DFT PBE-GGA" total_energy_ev_per_atom=-4.735 e_form_ev_per_atom=0.375 relative_energy_ev_per_fu=0.65 magnetic_moment_mub_per_cell=0.00 pbc="T T T"
Pd -1.772 1.407 5.623
Pd 3.970 -0.458 7.213
Mn 5.367 -0.024 3.313
Mn 5.742 1.734 1.462
Rb 1.800 0.713 4.632
Rb 2.573 0.958 0.396